[1]
A relaxed structure of LiSmInRu, computed with PBE.

Values from the calculation:
Magnetization in μB per cell: 0.0
Symmetry: No. 216

Unit cell a=4.8109 b=4.8109 c=4.8109 alpha=60.00 beta=60.00 gamma=60.00
Last column: nearest neighbours and their distance in Å.
Fractional coordinates of all 4 atoms:
Ru 0.2500 0.2500 0.2500  4 Sm 2.95, 4 In 2.95
Li 0.7500 0.7500 0.7500  4 In 2.95, 4 Sm 2.95
In 0.0000 0.0000 0.0000  4 Ru 2.95, 4 Li 2.95
Sm 0.5000 0.5000 0.5000  4 Li 2.95, 4 Ru 2.95

=====

[2]
A relaxed structure of LiInSnRu, computed with PBE.

Values from the calculation:
Magnetization in μB per cell: 0.0
Symmetry: No. 216

Unit cell a=4.6187 b=4.6187 c=4.6187 alpha=60.00 beta=60.00 gamma=60.00
Last column: nearest neighbours and their distance in Å.
Fractional coordinates of all 4 atoms:
Sn 0.5000 0.5000 0.5000  4 Li 2.83, 4 Ru 2.83
In 0.0000 0.0000 0.0000  4 Li 2.83, 4 Ru 2.83
Ru 0.7500 0.7500 0.7500  4 In 2.83, 4 Sn 2.83
Li 0.2500 0.2500 0.2500  4 In 2.83, 4 Sn 2.83

=====

[3]
A relaxed structure of LiTb3In3Ru2, computed with PBE.

Values from the calculation:
Magnetization in μB per cell: 0.0
Symmetry: No. 189

Unit cell a=3.8616 b=7.6278 c=7.6278 alpha=120.00 beta=90.00 gamma=90.00
Last column: nearest neighbours and their distance in Å.
Fractional coordinates of all 9 atoms:
Ru 0.5000 0.3333 0.6667  3 In 2.87, 6 Tb 2.99
Tb 0.0000 0.4182 0.0000  4 Ru 2.99, 2 In 3.14, 1 Li 3.19
In 0.5000 0.2579 0.2579  2 Li 2.76, 2 Ru 2.87
Ru 0.5000 0.6667 0.3333  3 In 2.87, 6 Tb 2.99
In 0.5000 0.0000 0.7421  2 Li 2.76, 2 Ru 2.87
Tb 0.0000 0.5818 0.5818  4 Ru 2.99, 2 In 3.14, 1 Li 3.19
In 0.5000 0.7421 0.0000  2 Li 2.76, 2 Ru 2.87
Tb 0.0000 0.0000 0.4182  4 Ru 2.99, 2 In 3.14, 1 Li 3.19
Li 0.0000 0.0000 0.0000  6 In 2.76

=====

Number 1: density 7.87 g cm⁻³, energy -4.886 eV/atom, ΔH_f (0 K) -0.9 eV/f.u.. Number 2: density 8.14 g cm⁻³, energy -4.650 eV/atom, ΔH_f (0 K) -0.7 eV/f.u.. Number 3: density 8.79 g cm⁻³, energy -5.102 eV/atom, ΔH_f (0 K) -3.4 eV/f.u..